DFT (PBE) results for V4Fe2Rh after structural relaxation.

abc: 4.5091 4.5091 6.6567
angles: 70.20 70.20 90.00
Last column: nearest neighbours and their distance in Å.
Fractional positions:
Rh1 0.0000 0.0000 0.0000  6 V 2.25-2.46
Fe1 0.3933 0.3933 0.2134  1 V 2.14
Fe2 0.6067 0.6067 0.7866  1 V 2.14
V1 0.2103 0.2103 0.5794  1 Fe 2.14
V2 0.7897 0.7897 0.4206  1 Fe 2.14
V3 0.0000 0.5000 0.0000  2 Rh 2.25
V4 0.5000 0.0000 0.0000  2 Rh 2.25

Output
The calculation puts the density of states at the Fermi level at 11.56 states/eV/cell. The formation energy comes out at 0.98 eV per atom. The total energy comes out at -7.696 eV per atom. The space group is I4/mmm (139).

DFT (PBE) results for VFeRh3 after structural relaxation.

abc: 4.3130 6.3409 6.3409
angles: 119.94 90.00 90.00
Last column: nearest neighbours and their distance in Å.
Fractional positions:
V1 0.2500 0.3336 0.6664  6 Rh 2.63
V2 0.7500 0.6664 0.3336  6 Rh 2.63
Fe1 0.0000 0.0000 0.0000  2 Fe 2.16
Fe2 0.5000 0.0000 0.0000  2 Fe 2.16
Rh1 0.2500 0.8030 0.1970  2 Fe 2.42, 2 Rh 2.60, 2 V 2.63
Rh2 0.7500 0.1970 0.8030  2 Fe 2.42, 2 Rh 2.60, 2 V 2.63
Rh3 0.2500 0.8029 0.6063  2 Fe 2.42, 2 Rh 2.60, 2 V 2.63
Rh4 0.7500 0.1971 0.3937  2 Fe 2.42, 2 Rh 2.60, 2 V 2.63
Rh5 0.2500 0.3937 0.1971  2 Fe 2.42, 2 Rh 2.60, 2 V 2.63
Rh6 0.7500 0.6063 0.8029  2 Fe 2.42, 2 Rh 2.60, 2 V 2.63

Output
The calculation puts the polymorph energy (0 for the lowest one) at 532 meV/atom. The calculation puts the density of states at the Fermi level at 10.78 states/eV/cell. The formation energy comes out at 0.32 eV per atom. The total energy comes out at -7.605 eV per atom. The space group is Cmcm (63).

DFT (PBE) results for VFe3Rh6 after structural relaxation.

abc: 4.3302 7.1072 9.6197
angles: 114.06 90.00 90.00
Last column: nearest neighbours and their distance in Å.
Fractional positions:
V1 0.2500 0.9675 0.5755  8 Rh 2.61-2.66, 2 Fe 2.69-2.77, 2 V 2.75
V2 0.7500 0.0325 0.4245  8 Rh 2.61-2.66, 2 Fe 2.69-2.77, 2 V 2.75
Fe1 0.2500 0.5613 0.3662  9 Rh 2.59-2.74, 2 Fe 2.68, 1 V 2.77
Fe2 0.7500 0.4387 0.6338  9 Rh 2.59-2.74, 2 Fe 2.68, 1 V 2.77
Fe3 0.2500 0.3670 0.7693  8 Rh 2.58-2.69, 3 Fe 2.68, 1 V 2.69
Fe4 0.7500 0.6330 0.2307  8 Rh 2.58-2.69, 3 Fe 2.68, 1 V 2.69
Fe5 0.2500 0.7639 0.9674  11 Rh 2.64-2.77, 1 Fe 2.68
Fe6 0.7500 0.2361 0.0326  11 Rh 2.64-2.77, 1 Fe 2.68
Rh1 0.2500 0.4644 0.0709  7 Fe 2.64-2.69, 5 Rh 2.67-2.71
Rh2 0.7500 0.5356 0.9291  7 Fe 2.64-2.69, 5 Rh 2.67-2.71
Rh3 0.2500 0.1646 0.1704  8 Rh 2.66-2.76, 4 Fe 2.68-2.72
Rh4 0.7500 0.8354 0.8296  8 Rh 2.66-2.76, 4 Fe 2.68-2.72
Rh5 0.2500 0.6636 0.6679  5 Fe 2.63-2.69, 1 V 2.65, 6 Rh 2.66-2.75
Rh6 0.7500 0.3364 0.3321  5 Fe 2.63-2.69, 1 V 2.65, 6 Rh 2.66-2.75
Rh7 0.2500 0.2633 0.4788  4 Fe 2.58-2.74, 3 V 2.62-2.64, 5 Rh 2.68-2.76
Rh8 0.7500 0.7367 0.5212  4 Fe 2.58-2.74, 3 V 2.62-2.64, 5 Rh 2.68-2.76
Rh9 0.2500 0.8581 0.2764  4 Fe 2.59-2.77, 3 V 2.61-2.66, 5 Rh 2.69-2.76
Rh10 0.7500 0.1419 0.7236  4 Fe 2.59-2.77, 3 V 2.61-2.66, 5 Rh 2.69-2.76
Rh11 0.2500 0.0709 0.8692  1 V 2.61, 4 Fe 2.65-2.71, 7 Rh 2.67-2.75
Rh12 0.7500 0.9291 0.1308  1 V 2.61, 4 Fe 2.65-2.71, 7 Rh 2.67-2.75

Output
The calculation puts the density of states at the Fermi level at 29.24 states/eV/cell. The formation energy comes out at -0.11 eV per atom. The total energy comes out at -7.973 eV per atom. The space group is P2_1/m (11).